[1]
The following is a DFT calculation (PBE) of crystalline NpTaV2 at its relaxed geometry.

Summary:
As for the formation energy: 272 meV/atom. As for the distance to the lowest polymorph of the same formula: 0.0 meV/atom.

Cell and atoms, written as POSCAR:
```
NpTaV2
1.0
3.179 0.000 0.000
0.000 3.179 0.000
0.000 0.000 6.424
Np Ta V
1 1 2
Direct
0.000 0.000 0.000 Np
0.000 0.000 0.500 Ta
0.500 0.500 0.240 V
0.500 0.500 0.760 V
```

***

[2]
The following is a DFT calculation (PBE) of crystalline TaTcBi2Pd at its relaxed geometry.

Summary:
As for the formation energy: 1425 meV/atom.

Cell and atoms, written as POSCAR:
```
TaTcBi2Pd
1.0
5.187 0.000 0.000
0.000 5.187 0.000
0.000 0.000 4.784
Ta Tc Bi Pd
1 1 2 1
Direct
0.000 0.000 0.000 Ta
0.500 0.500 0.500 Tc
0.000 0.500 0.500 Bi
0.500 0.000 0.500 Bi
0.500 0.500 0.000 Pd
```

***

[3]
The following is a DFT calculation (PBE) of crystalline AcCeS2O at its relaxed geometry.

Summary:
The value obtained for the uncorrected formation energy is -2.51 eV/atom.

Cell and atoms, written as POSCAR:
```
AcCeS2O
1.0
4.119 0.000 0.000
0.000 4.119 0.000
0.000 0.000 14.239
Ac Ce S O
2 2 4 2
Direct
0.250 0.250 0.094 Ac
0.750 0.750 0.906 Ac
0.250 0.250 0.614 Ce
0.750 0.750 0.386 Ce
0.250 0.250 0.407 S
0.250 0.250 0.795 S
0.750 0.750 0.205 S
0.750 0.750 0.593 S
0.250 0.750 0.000 O
0.750 0.250 0.000 O
```

***

[4]
The following is a DFT calculation (PBE) of crystalline ZnBr2 at its relaxed geometry.

Summary:
The value obtained for the uncorrected formation energy is -0.16 eV/atom.

Cell and atoms, written as POSCAR:
```
ZnBr2
1.0
4.713 0.000 0.000
0.000 4.713 0.000
0.000 0.000 3.491
Zn Br
1 2
Direct
0.000 0.000 0.000 Zn
0.000 0.500 0.500 Br
0.500 0.000 0.500 Br
```

***

[5]
The following is a DFT calculation (PBE) of crystalline RbTeBr2F at its relaxed geometry.

Summary:
The value obtained for the uncorrected formation energy is -1.16 eV/atom.

Cell and atoms, written as POSCAR:
```
RbTeBr2F
1.0
5.949 0.000 0.000
0.000 5.949 0.000
0.000 0.000 4.592
Rb Te Br F
1 1 2 1
Direct
0.000 0.000 0.000 Rb
0.500 0.500 0.500 Te
0.000 0.500 0.500 Br
0.500 0.000 0.500 Br
0.500 0.500 0.000 F
```

***

[6]
The following is a DFT calculation (PBE) of crystalline PuScTi2 at its relaxed geometry.

Summary:
As for the formation energy: 170 meV/atom. As for the distance to the lowest polymorph of the same formula: 12.0 meV/atom.

Cell and atoms, written as POSCAR:
```
PuScTi2
1.0
5.002 0.000 0.000
0.000 5.002 0.000
0.000 0.000 3.210
Pu Sc Ti
1 1 2
Direct
0.000 0.000 0.000 Pu
0.500 0.500 0.000 Sc
0.000 0.500 0.500 Ti
0.500 0.000 0.500 Ti
```

***

[7]
The following is a DFT calculation (PBE) of crystalline Dy4Ti at its relaxed geometry.

Summary:
As for the formation energy: 474 meV/atom.

Cell and atoms, written as POSCAR:
```
Dy4Ti
1.0
5.403 0.000 0.000
0.000 5.403 0.000
0.000 0.000 5.403
Dy Ti
4 1
Direct
0.000 0.000 0.000 Dy
0.000 0.500 0.500 Dy
0.500 0.000 0.500 Dy
0.500 0.500 0.000 Dy
0.500 0.500 0.500 Ti
```

***

[8]
The following is a DFT calculation (PBE) of crystalline Np3Tl3BiTe8 at its relaxed geometry.

Summary:
The value obtained for the uncorrected formation energy is -0.50 eV/atom.

Cell and atoms, written as POSCAR:
```
Np3Tl3BiTe8
1.0
7.743 -4.473 0.000
7.743 4.473 0.000
-5.157 0.000 8.181
Np Tl Bi Te
3 3 1 8
Direct
0.000 0.000 0.000 Np
0.000 0.500 0.000 Np
0.500 0.000 0.000 Np
0.000 0.500 0.500 Tl
0.500 0.000 0.500 Tl
0.500 0.500 0.500 Tl
0.500 0.500 0.000 Bi
0.229 0.743 0.215 Te
0.238 0.238 0.214 Te
0.257 0.257 0.785 Te
0.257 0.771 0.785 Te
0.743 0.229 0.215 Te
0.743 0.743 0.215 Te
0.762 0.762 0.786 Te
0.771 0.257 0.785 Te
```

***

Electronic total energy for the records above, in order: -10.485, -5.609, -7.158, -1.704, -3.029, -8.944, -4.786, -5.492 eV/atom